BaAg2Se: optimized geometry, PBE.

abc: 4.4121 4.4231 5.8786
angles: 90.00 90.35 90.00
Space group P2/m (No. 10)
Inequivalent atoms, fractional coordinates:
1 Ba 0.0000 0.0000 0.0000 x1
2 Ag 0.0000 0.5000 0.5000 x1
3 Ag 0.5000 0.0000 0.5000 x1
4 Se 0.5000 0.5000 0.0000 x1

Summary:
The size of the total moment comes out at 0.00 μB per cell. As for the crystal system: monoclinic. For the density of states at the Fermi level, the calculation gives 1.0 states/eV/cell. Its uncorrected formation energy is -0.46 eV per atom.



BaAg3Se: optimized geometry, PBE.

abc: 5.9309 5.9309 5.9309
angles: 90.00 90.00 90.00
Space group Pm-3m (No. 221)
Inequivalent atoms, fractional coordinates:
1 Ba 0.0000 0.0000 0.0000 x1
2 Ag 0.0000 0.0000 0.5000 x3
3 Se 0.5000 0.5000 0.5000 x1

Summary:
The size of the total moment comes out at 0.00 μB per cell. As for the crystal system: cubic. For the density of states at the Fermi level, the calculation gives 4.8 states/eV/cell. Its uncorrected formation energy is 1.11 eV per atom.



BaAgSe2: optimized geometry, PBE.

abc: 7.5500 7.5500 7.5500
angles: 90.00 90.00 90.00
Space group F-43m (No. 216)
Inequivalent atoms, fractional coordinates:
1 Ba 0.0000 0.0000 0.0000 x4
2 Ag 0.2500 0.2500 0.7500 x4
3 Se 0.0000 0.0000 0.5000 x4
4 Se 0.2500 0.2500 0.2500 x4

Summary:
The size of the total moment comes out at 0.00 μB per cell. As for the crystal system: cubic. For the density of states at the Fermi level, the calculation gives 17.9 states/eV/cell. Its uncorrected formation energy is -0.43 eV per atom.



Ba2AgSe: optimized geometry, PBE.

abc: 4.0924 4.1055 8.0795
angles: 90.00 90.06 90.00
Space group P2/m (No. 10)
Inequivalent atoms, fractional coordinates:
1 Ba 0.9997 0.0000 0.2375 x2
2 Ag 0.5000 0.5000 0.5000 x1
3 Se 0.5000 0.5000 0.0000 x1

Summary:
The size of the total moment comes out at 0.00 μB per cell. As for the crystal system: monoclinic. For the density of states at the Fermi level, the calculation gives 2.2 states/eV/cell. Its uncorrected formation energy is -1.00 eV per atom.



BaSmAg2Se4: optimized geometry, PBE.

abc: 7.3895 7.4042 8.5032
angles: 90.00 90.00 90.00
Space group I222 (No. 23)
Inequivalent atoms, fractional coordinates:
1 Ba 0.0000 0.0000 0.0000 x2
2 Sm 0.0000 0.0000 0.5000 x2
3 Ag 0.0000 0.5000 0.2476 x4
4 Se 0.2160 0.2158 0.7044 x8

Summary:
The size of the total moment comes out at 0.00 μB per cell. As for the crystal system: orthorhombic. For the density of states at the Fermi level, the calculation gives 6.5 states/eV/cell. Its uncorrected formation energy is -1.05 eV per atom.



Ba2SmAgSe4: optimized geometry, PBE.

abc: 7.6598 4.4462 7.7850
angles: 90.00 110.60 90.00
Space group P2/m (No. 10)
Inequivalent atoms, fractional coordinates:
1 Ba 0.0000 0.0000 0.0000 x1
2 Ba 0.0000 0.5000 0.5000 x1
3 Sm 0.5000 0.0000 0.5000 x1
4 Ag 0.5000 0.5000 0.0000 x1
5 Se 0.2760 0.5000 0.2711 x2
6 Se 0.2880 0.0000 0.7564 x2

Summary:
The size of the total moment comes out at 0.00 μB per cell. As for the crystal system: monoclinic. Its uncorrected formation energy is -1.54 eV per atom.



Ba2SmAg2Se4: optimized geometry, PBE.

abc: 16.2989 4.2205 8.0473
angles: 90.00 113.62 90.00
Space group C2/m (No. 12)
Inequivalent atoms, fractional coordinates:
1 Ba 0.1356 0.0000 0.0844 x4
2 Sm 0.0000 0.0000 0.5000 x2
3 Ag 0.1873 0.5000 0.5051 x4
4 Se 0.0168 0.5000 0.2492 x4
5 Se 0.1932 0.0000 0.7356 x4

Summary:
The size of the total moment comes out at 0.00 μB per cell. As for the crystal system: monoclinic. For the density of states at the Fermi level, the calculation gives 5.0 states/eV/cell. Its uncorrected formation energy is -1.31 eV per atom.



BaSmAgSe3: optimized geometry, PBE.

abc: 8.8532 4.3134 9.5985
angles: 90.00 105.31 90.00
Space group P2_1/m (No. 11)
Inequivalent atoms, fractional coordinates:
1 Ba 0.2008 0.2500 0.2445 x2
2 Sm 0.3224 0.7500 0.8381 x2
3 Ag 0.0876 0.2500 0.5889 x2
4 Se 0.1042 0.2500 0.8714 x2
5 Se 0.2444 0.7500 0.5215 x2
6 Se 0.4468 0.7500 0.1570 x2

Summary:
The size of the total moment comes out at 0.00 μB per cell. As for the crystal system: monoclinic. Its uncorrected formation energy is -1.55 eV per atom.



BaAg2SnSe4: optimized geometry, PBE.

abc: 7.1711 7.6787 8.5620
angles: 90.00 90.00 90.00
Space group I222 (No. 23)
Inequivalent atoms, fractional coordinates:
1 Ba 0.0000 0.0000 0.0000 x2
2 Ag 0.0000 0.5000 0.1792 x4
3 Sn 0.0000 0.0000 0.5000 x2
4 Se 0.2058 0.1933 0.3250 x8

Summary:
The size of the total moment comes out at 0.00 μB per cell. As for the crystal system: orthorhombic. For the density of states at the Fermi level, the calculation gives 0.2 states/eV/cell. Its uncorrected formation energy is -0.73 eV per atom.



BaAgSn2Se4: optimized geometry, PBE.

abc: 4.3974 13.8474 14.9547
angles: 90.00 90.00 90.00
Space group Cmcm (No. 63)
Inequivalent atoms, fractional coordinates:
1 Ba 0.0000 0.1223 0.2500 x4
2 Ag 0.0000 0.1517 0.7500 x4
3 Sn 0.0000 0.3718 0.0579 x8
4 Se 0.0000 0.0000 0.0000 x4
5 Se 0.0000 0.2702 0.6088 x8
6 Se 0.0000 0.4483 0.2500 x4

Summary:
The size of the total moment comes out at 0.00 μB per cell. As for the crystal system: orthorhombic. For the density of states at the Fermi level, the calculation gives 14.7 states/eV/cell. Its uncorrected formation energy is -0.72 eV per atom.



BaAgSnSe3: optimized geometry, PBE.

abc: 8.6526 4.3693 9.4267
angles: 90.00 105.19 90.00
Space group P2_1/m (No. 11)
Inequivalent atoms, fractional coordinates:
1 Ba 0.2015 0.2500 0.2545 x2
2 Ag 0.0771 0.2500 0.5891 x2
3 Sn 0.3284 0.7500 0.8572 x2
4 Se 0.1087 0.2500 0.8819 x2
5 Se 0.2503 0.7500 0.5376 x2
6 Se 0.4495 0.7500 0.1648 x2

Summary:
The size of the total moment comes out at 0.00 μB per cell. As for the crystal system: monoclinic. For the density of states at the Fermi level, the calculation gives 7.4 states/eV/cell. Its uncorrected formation energy is -0.83 eV per atom.



Ba3Ag2SnSe6: optimized geometry, PBE.

abc: 7.7391 7.7391 7.9341
angles: 90.00 90.00 120.00
Space group P-3m1 (No. 164)
Inequivalent atoms, fractional coordinates:
1 Ba 0.0000 0.0000 0.0000 x1
2 Ba 0.3333 0.6667 0.6097 x2
3 Ag 0.3333 0.6667 0.1276 x2
4 Sn 0.0000 0.0000 0.5000 x1
5 Se 0.1681 0.3362 0.3003 x6

Summary:
The size of the total moment comes out at 0.00 μB per cell. As for the crystal system: trigonal. For the density of states at the Fermi level, the calculation gives 5.3 states/eV/cell. Its uncorrected formation energy is -0.90 eV per atom.